(a)
VASP calculation (PBEsol) on a geometry-optimized V2O3F structure.

## Properties
Space group   Amm2, No. 38
Total magnetization   3.002 μB/cell

a = 2.859 Å, b = 4.619 Å, c = 4.619 Å
α = 93.30°, β = 90.00°, γ = 90.00°
Last column: magnetic moment on the atom in μB.
Fractional positions:
O 0.000 0.702 0.702  -0.06
O 0.000 0.298 0.298  -0.06
O 0.500 0.203 0.797  -0.08
V 0.500 0.479 0.521  1.41
V 0.000 0.020 0.980  1.58
F 0.500 0.799 0.201  0.02

(b)
VASP calculation (PBEsol) on a geometry-optimized V2O3F structure.

## Properties
Space group   C2/m, No. 12
Total magnetization   6.011 μB/cell

a = 4.584 Å, b = 5.434 Å, c = 5.434 Å
α = 116.65°, β = 91.93°, γ = 88.07°
Last column: magnetic moment on the atom in μB.
Fractional positions:
O 0.705 0.154 0.352  -0.06
O 0.705 0.648 0.846  -0.06
O 0.200 0.848 0.152  -0.05
O 0.800 0.152 0.848  -0.05
O 0.295 0.352 0.154  -0.06
O 0.295 0.846 0.648  -0.06
F 0.788 0.651 0.349  0.01
F 0.212 0.349 0.651  0.01
V 0.500 0.500 0.500  1.48
V 0.000 0.500 0.000  1.55
V 0.000 0.000 0.500  1.55
V 0.500 0.000 0.000  1.36

The relative energies come out as (a) 0.000; (b) 0.091, with values in eV/atom.

(a)
VASP calculation (PBEsol) on a geometry-optimized V2O3F structure.

## Properties
Space group   Imma, No. 74
Total magnetization   6.010 μB/cell

a = 5.444 Å, b = 5.444 Å, c = 5.444 Å
α = 76.99°, β = 71.34°, γ = 117.06°
Last column: magnetic moment on the atom in μB.
Fractional positions:
F 0.750 0.956 0.294  0.02
F 0.250 0.044 0.706  0.02
V 0.500 0.500 0.500  1.68
V 0.250 0.712 0.038  1.29
V 0.000 0.000 0.500  1.68
V 0.750 0.288 0.962  1.29
O 0.250 0.445 0.305  -0.06
O 0.801 0.500 0.199  -0.06
O 0.699 0.000 0.801  -0.06
O 0.199 0.500 0.801  -0.06
O 0.750 0.555 0.695  -0.06
O 0.301 0.000 0.199  -0.06

(b)
VASP calculation (PBEsol) on a geometry-optimized V2O3F structure.

## Properties
Space group   Cmmm, No. 65
Total magnetization   9.921 μB/cell

a = 5.689 Å, b = 6.351 Å, c = 7.247 Å
α = 90.00°, β = 113.11°, γ = 90.00°
Last column: magnetic moment on the atom in μB.
Fractional positions:
O 0.894 0.000 0.788  -0.05
O 0.106 0.000 0.212  -0.05
O 0.349 0.500 0.699  -0.04
O 0.751 0.706 0.000  -0.04
O 0.249 0.294 0.000  -0.04
O 0.249 0.706 0.000  -0.04
O 0.000 0.201 0.500  -0.06
O 0.500 0.201 0.500  -0.06
O 0.500 0.799 0.500  -0.06
O 0.651 0.500 0.301  -0.04
O 0.751 0.294 0.000  -0.04
O 0.000 0.799 0.500  -0.06
V 0.754 0.000 0.508  1.32
V 0.788 0.000 0.000  0.54
V 0.000 0.500 0.500  1.54
V 0.500 0.500 0.500  1.54
V 0.000 0.500 0.000  1.60
V 0.500 0.500 0.000  1.39
V 0.246 0.000 0.492  1.32
V 0.212 0.000 0.000  0.54
F 0.598 0.000 0.195  0.00
F 0.402 0.000 0.805  0.00
F 0.853 0.500 0.706  0.01
F 0.147 0.500 0.294  0.01

The relative energies come out as (a) 0.000; (b) 0.011, with values in eV/atom.

(a)
VASP calculation (PBEsol) on a geometry-optimized V2O3F structure.

## Properties
Space group   Cmcm, No. 63
Total magnetization   12.016 μB/cell

a = 4.627 Å, b = 4.627 Å, c = 11.423 Å
α = 90.00°, β = 90.00°, γ = 93.44°
Last column: magnetic moment on the atom in μB.
Fractional positions:
F 0.295 0.705 0.125  0.01
F 0.295 0.705 0.375  0.01
F 0.705 0.295 0.625  0.01
F 0.705 0.295 0.875  0.01
O 0.792 0.802 0.250  -0.06
O 0.801 0.801 0.000  -0.06
O 0.697 0.303 0.126  -0.07
O 0.199 0.199 0.500  -0.06
O 0.801 0.801 0.500  -0.06
O 0.208 0.198 0.750  -0.06
O 0.303 0.697 0.626  -0.07
O 0.198 0.208 0.250  -0.06
O 0.303 0.697 0.874  -0.07
O 0.802 0.792 0.750  -0.06
O 0.697 0.303 0.374  -0.07
O 0.199 0.199 0.000  -0.06
V 0.500 0.500 0.000  1.69
V 0.970 0.030 0.374  1.37
V 0.519 0.481 0.250  1.52
V 0.030 0.970 0.626  1.37
V 0.970 0.030 0.126  1.37
V 0.481 0.519 0.750  1.52
V 0.030 0.970 0.874  1.37
V 0.500 0.500 0.500  1.69

(b)
VASP calculation (PBEsol) on a geometry-optimized V2O3F structure.

## Properties
Space group   P2_1/c, No. 14
Total magnetization   12.022 μB/cell

a = 4.572 Å, b = 5.394 Å, c = 9.847 Å
α = 94.54°, β = 90.00°, γ = 90.00°
Last column: magnetic moment on the atom in μB.
Fractional positions:
O 0.796 0.720 0.570  -0.07
O 0.803 0.976 0.326  -0.06
O 0.699 0.479 0.323  -0.06
O 0.801 0.479 0.823  -0.06
O 0.199 0.521 0.177  -0.06
O 0.704 0.720 0.070  -0.07
O 0.296 0.280 0.930  -0.07
O 0.303 0.024 0.174  -0.06
O 0.204 0.280 0.430  -0.07
O 0.197 0.024 0.674  -0.06
O 0.301 0.521 0.677  -0.06
O 0.697 0.976 0.826  -0.06
F 0.303 0.779 0.421  0.01
F 0.197 0.779 0.921  0.01
F 0.697 0.221 0.579  0.01
F 0.803 0.221 0.079  0.01
V 0.000 0.000 0.500  1.61
V 0.500 0.000 0.000  1.61
V 0.981 0.745 0.734  1.31
V 0.519 0.745 0.234  1.31
V 0.000 0.500 0.000  1.74
V 0.481 0.255 0.766  1.31
V 0.019 0.255 0.266  1.31
V 0.500 0.500 0.500  1.74

(c)
VASP calculation (PBEsol) on a geometry-optimized V2O3F structure.

## Properties
Space group   C2/m, No. 12
Total magnetization   8.023 μB/cell

a = 5.440 Å, b = 5.440 Å, c = 9.725 Å
α = 102.50°, β = 94.38°, γ = 118.45°
Last column: magnetic moment on the atom in μB.
Fractional positions:
O 0.542 0.849 0.902  -0.04
O 0.199 0.912 0.603  -0.05
O 0.801 0.088 0.397  -0.05
O 0.690 0.404 0.603  -0.05
O 0.994 0.162 0.156  -0.05
O 0.006 0.838 0.844  -0.05
O 0.052 0.360 0.902  -0.04
O 0.458 0.151 0.098  -0.04
O 0.310 0.596 0.397  -0.05
O 0.790 0.565 0.355  -0.04
O 0.210 0.435 0.645  -0.04
O 0.948 0.640 0.098  -0.04
F 0.718 0.931 0.649  0.00
F 0.533 0.324 0.857  0.02
F 0.282 0.069 0.351  0.00
F 0.467 0.676 0.143  0.02
V 0.500 0.000 0.500  1.51
V 0.149 0.163 0.747  0.72
V 0.197 0.773 0.970  1.07
V 0.583 0.597 0.747  0.72
V 0.000 0.500 0.500  1.41
V 0.417 0.403 0.253  0.72
V 0.803 0.227 0.030  1.07
V 0.851 0.837 0.253  0.72

The relative energies come out as (a) 0.000; (b) 0.041; (c) 0.025, with values in eV/atom.